Compound: NaNdAs2
Source: Alexandria
Functional: PBE
Structure: relaxed

```
NaNdAs2
1.0
-0.4892 4.8132 0.9469
-3.8432 1.6165 2.6305
0.9655 1.6340 5.0261
As Na Nd
2 1 1
Cartesian
-0.8586 2.0195 2.1240
-2.5083 6.0442 6.4794
0.0000 0.0000 0.0000
-1.6835 4.0318 4.3017
```

Values from the calculation:
- Total magnetization: 0.00 μB/f.u.
- Uncorrected energy: -17.87 eV for the cell shown
- Energy of formation: -0.622 eV per atom